A plane-wave DFT calculation with GGA-PBEsol was carried out for an optimized crystal structure of H16PdC4S4N8Cl2.

Values from the calculation:
Its energy is -5.71 eV per atom. The value obtained for the density of states at the Fermi level is 0.00 states/eV/atom.

Cell: 10.113 10.113 8.847 Å, 93.55 93.55 66.34°
Atoms (fractional coordinates):
H  0.025  0.656  0.160
H  0.052  0.332  0.139
H  0.077  0.789  0.548
H  0.132  0.380  0.856
H  0.146  0.698  0.721
H  0.200  0.347  0.241
H  0.211  0.923  0.952
H  0.302  0.854  0.779
H  0.320  0.473  0.716
H  0.332  0.052  0.639
H  0.344  0.975  0.340
H  0.347  0.200  0.741
H  0.380  0.132  0.356
H  0.390  0.408  0.046
H  0.408  0.390  0.546
H  0.473  0.320  0.216
H  0.527  0.680  0.784
H  0.592  0.610  0.454
H  0.610  0.592  0.954
H  0.620  0.868  0.644
H  0.653  0.800  0.259
H  0.656  0.025  0.660
H  0.668  0.948  0.361
H  0.680  0.527  0.284
H  0.698  0.146  0.221
H  0.789  0.077  0.048
H  0.800  0.653  0.759
H  0.854  0.302  0.279
H  0.868  0.620  0.144
H  0.923  0.211  0.452
H  0.948  0.668  0.861
H  0.975  0.344  0.840
Pd  0.176  0.824  0.250
Pd  0.824  0.176  0.750
C  0.144  0.196  0.728
C  0.196  0.144  0.228
C  0.242  0.591  0.528
C  0.409  0.758  0.972
C  0.591  0.242  0.028
C  0.758  0.409  0.472
C  0.804  0.856  0.772
C  0.856  0.804  0.272
S  0.053  0.091  0.656
S  0.091  0.053  0.156
S  0.259  0.588  0.334
S  0.412  0.741  0.166
S  0.588  0.259  0.834
S  0.741  0.412  0.666
S  0.909  0.947  0.844
S  0.947  0.909  0.344
N  0.081  0.313  0.815
N  0.150  0.282  0.195
N  0.151  0.703  0.605
N  0.282  0.150  0.695
N  0.297  0.849  0.895
N  0.313  0.081  0.315
N  0.328  0.474  0.601
N  0.474  0.328  0.101
N  0.526  0.672  0.899
N  0.672  0.526  0.399
N  0.687  0.919  0.685
N  0.703  0.151  0.105
N  0.718  0.850  0.305
N  0.849  0.297  0.395
N  0.850  0.718  0.805
N  0.919  0.687  0.185
Cl  0.184  0.555  0.936
Cl  0.445  0.816  0.564
Cl  0.555  0.184  0.436
Cl  0.816  0.445  0.064